# 1
Tb6Pm16Er7: optimized geometry, PBE.

Output
total magnetic moment: 0.0 μB/cell
formation energy: 0.21 eV/atom

Unit cell a=15.9063 b=15.9063 c=15.9063 alpha=90.00 beta=90.00 gamma=90.00
With the nearest neighbours (Å) after each atom.
Space group Fm-3m (No. 225)
Asymmetric unit:
Tb1 0.0000 0.0000 0.2317 [24 per cell]  8 Pm 3.61-3.62, 4 Er 3.99
Pm1 0.1250 0.1250 0.3750 [32 per cell]  4 Er 3.44, 3 Tb 3.62, 3 Pm 3.63
Pm2 0.1497 0.1497 0.1497 [32 per cell]  3 Er 3.28, 3 Tb 3.61, 3 Pm 3.63
Er1 0.0000 0.0000 0.5000 [4 per cell]  8 Pm 3.44
Er2 0.0000 0.2500 0.2500 [24 per cell]  8 Pm 3.28-3.44

---

# 2
Ac2TmSe4: optimized geometry, PBE.

Output
polymorph energy (0 for the lowest one): 39.6 meV/atom
total magnetic moment: 0.0 μB/cell
formation energy (no corrections): -13.04 eV/f.u.

Unit cell a=7.2753 b=8.1333 c=15.1752 alpha=90.00 beta=90.00 gamma=90.00
With the nearest neighbours (Å) after each atom.
Space group Pbca (No. 61)
Asymmetric unit:
Ac1 0.0045 0.1026 0.1403 [8 per cell]  6 Se 3.08-3.18
Tm1 0.0000 0.0000 0.5000 [4 per cell]  6 Se 2.85-2.89
Se1 0.1189 0.5383 0.8225 [8 per cell]  1 Tm 2.85, 3 Ac 3.08-3.11
Se2 0.1826 0.6980 0.5418 [8 per cell]  2 Tm 2.86-2.89, 3 Ac 3.15-3.18

---

# 3
Nd4Dy4Y3: optimized geometry, PBE.

Output
polymorph energy (0 for the lowest one): 0.0 meV/atom
total magnetic moment: 0.0 μB/cell
formation energy: 0.05 eV/atom

Unit cell a=3.5583 b=5.6939 c=18.2186 alpha=98.98 beta=95.60 gamma=90.01
With the nearest neighbours (Å) after each atom.
Space group P-1 (No. 2)
Asymmetric unit:
Nd1 0.0902 0.0907 0.1809 [2 per cell]  3 Dy 3.23-3.27, 2 Nd 3.56
Nd2 0.2325 0.7324 0.4646 [2 per cell]  4 Dy 3.40-3.59, 6 Nd 3.56-3.59
Dy1 0.0449 0.5457 0.0909 [2 per cell]  3 Dy 3.25-3.56, 2 Nd 3.27
Dy2 0.1801 0.1807 0.3611 [2 per cell]  5 Nd 3.23-3.59, 2 Dy 3.56
Y1 0.3647 0.3639 0.7284 [2 per cell]  2 Y 3.56, 6 Dy 3.69-3.72, 6 Nd 3.73-3.89
Y2 0.5000 0.0000 0.0000 [1 per cell]  2 Y 3.56, 4 Nd 3.70, 8 Dy 3.73